Record 1
This record from Alexandria via LeMat-Bulk describes a relaxed structure of Pr6NdIn5. The functional is PBE-GGA.

It has space group Cmmm (No. 65), with a = 5.209 Å, b = 15.975 Å, c = 8.853 Å, α = 90.00°, β = 90.00° and γ = 90.00°. The inequivalent atoms are Pr at (0.000, 0.000, 0.228), Pr at (0.000, 0.327, 0.248), Nd at (0.000, 0.500, 0.500), In at (0.000, 0.148, 0.500), In at (0.000, 0.170, 0.000) and In at (0.000, 0.500, 0.000).

The energy relative to the elements is -0.381 eV per atom. The calculation puts the spin magnetization at 0.01 μB/cell. As for the offset from the most stable computed form: 12 meV/atom.

---

Record 2
This record from Alexandria via LeMat-Bulk describes a relaxed structure of BPbSeN2. The functional is PBE-GGA.

It has space group P4/mmm (No. 123), with a = 4.389 Å, b = 4.389 Å, c = 5.743 Å, α = 90.00°, β = 90.00° and γ = 90.00°. The inequivalent atoms are B at (0.000, 0.000, 0.000), Pb at (0.500, 0.500, 0.500), Se at (0.500, 0.500, 0.000) and N at (0.000, 0.500, 0.500).

The calculation puts the spin magnetization at 3.12 μB/cell. As for the offset from the most stable computed form: 909 meV/atom. For the formation energy from raw total energies, the calculation gives 12.226 eV per formula unit.

---

Record 3
This record from Alexandria via LeMat-Bulk describes a relaxed structure of ZrSbAs. The functional is PBE-GGA.

It has space group F-43m (No. 216), with a = 6.793 Å, b = 6.793 Å, c = 6.793 Å, α = 90.00°, β = 90.00° and γ = 90.00°. The inequivalent atoms are Zr at (0.000, 0.000, 0.000), Sb at (0.250, 0.250, 0.250) and As at (0.250, 0.250, 0.750).

The calculation puts the spin magnetization at 0.00 μB/cell. As for the offset from the most stable computed form: 437 meV/atom. For the formation energy from raw total energies, the calculation gives -0.540 eV per formula unit.

---

Record 4
This record from Alexandria via LeMat-Bulk describes a relaxed structure of La2GaNi6H. The functional is PBE-GGA.

It has space group C2/m (No. 12), with a = 9.315 Å, b = 5.367 Å, c = 6.642 Å, α = 90.00°, β = 117.72° and γ = 90.00°. The inequivalent atoms are La at (0.228, 0.000, 0.182), Ga at (0.000, 0.500, 0.000), Ni at (0.029, 0.254, 0.333), Ni at (0.225, 0.000, 0.667) and H at (0.000, 0.000, 0.500).

The calculation puts the spin magnetization at 0.00 μB/cell. The energy is -5.406 eV/atom.

---

Record 5
This record from Alexandria via LeMat-Bulk describes a relaxed structure of AgRu3. The functional is PBE-GGA.

It has space group P2/m (No. 10), with a = 2.731 Å, b = 3.848 Å, c = 5.680 Å, α = 90.00°, β = 90.13° and γ = 90.00°. The inequivalent atoms are Ag at (0.000, 0.000, 0.000), Ru at (0.000, 0.000, 0.500) and Ru at (0.497, 0.500, 0.276).

The energy relative to the elements is 0.420 eV per atom. The calculation puts the spin magnetization at 0.00 μB/cell.

---

Record 6
This record from Alexandria via LeMat-Bulk describes a relaxed structure of AlNiW. The functional is PBE-GGA.

It has space group I4mm (No. 107), with a = 2.802 Å, b = 2.802 Å, c = 10.391 Å, α = 90.00°, β = 90.00° and γ = 90.00°. The inequivalent atoms are Al at (0.000, 0.000, 0.000), Ni at (0.000, 0.000, 0.355) and W at (0.000, 0.000, 0.689).

The energy relative to the elements is -0.200 eV per atom. The calculation puts the spin magnetization at 0.00 μB/cell. As for the offset from the most stable computed form: 14 meV/atom.

---

Record 7
This record from Alexandria via LeMat-Bulk describes a relaxed structure of BaAl2Ag9. The functional is PBE-GGA.

It has space group I4_1/amd (No. 141, origin choice 2), with a = 11.525 Å, b = 11.525 Å, c = 7.346 Å, α = 90.00°, β = 90.00° and γ = 90.00°. The inequivalent atoms are Ba at (0.000, 0.250, 0.375), Al at (0.000, 0.000, 0.000), Ag at (0.000, 0.250, 0.875) and Ag at (0.122, 0.046, 0.691).

The energy relative to the elements is -0.123 eV per atom. The calculation puts the spin magnetization at 0.00 μB/cell.

---

Record 8
This record from Alexandria via LeMat-Bulk describes a relaxed structure of Ce2ErIn4. The functional is PBE-GGA.

It has space group Cmmm (No. 65), with a = 6.375 Å, b = 13.947 Å, c = 4.882 Å, α = 90.00°, β = 90.00° and γ = 90.00°. The inequivalent atoms are Ce at (0.000, 0.101, 0.000), Er at (0.000, 0.500, 0.500), In at (0.000, 0.254, 0.500) and In at (0.000, 0.367, 0.000).

The energy relative to the elements is 0.052 eV per atom. The calculation puts the spin magnetization at 4.87 μB/cell. As for the offset from the most stable computed form: 291 meV/atom.

---

Record 9
This record from Alexandria via LeMat-Bulk describes a relaxed structure of BaCuAg. The functional is PBE-GGA.

It has space group I-4m2 (No. 119), with a = 4.578 Å, b = 4.578 Å, c = 16.215 Å, α = 90.00°, β = 90.00° and γ = 90.00°. The inequivalent atoms are Ba at (0.000, 0.000, 0.000), Ba at (0.000, 0.500, 0.250), Cu at (0.000, 0.000, 0.424) and Ag at (0.000, 0.500, 0.662).

The energy relative to the elements is -0.138 eV per atom. The calculation puts the spin magnetization at 0.00 μB/cell. As for the offset from the most stable computed form: 6 meV/atom.

---

Record 10
This record from Alexandria via LeMat-Bulk describes a relaxed structure of BaGdCd2. The functional is PBE-GGA.

It has space group R-3m (No. 166, hexagonal axes), with a = 3.9222 Å, b = 3.9222 Å, c = 30.8419 Å, α = 90.00°, β = 90.00° and γ = 120.00°. The inequivalent atoms are Ba at (0.0000, 0.0000, 0.0000), Gd at (0.0000, 0.0000, 0.5000) and Cd at (0.0000, 0.0000, 0.2422).

The energy relative to the elements is -0.071 eV per atom. The calculation puts the spin magnetization at 22.76 μB/cell.

---

Record 11
This record from Alexandria via LeMat-Bulk describes a relaxed structure of LiNp2ScTe4. The functional is PBE-GGA.

It has space group P2/m (No. 10), with a = 7.406 Å, b = 4.280 Å, c = 7.532 Å, α = 90.00°, β = 109.44° and γ = 90.00°. The inequivalent atoms are Li at (0.000, 0.000, 0.000), Np at (0.500, 0.000, 0.500), Np at (0.500, 0.500, 0.000), Sc at (0.000, 0.500, 0.500), Te at (0.230, 0.500, 0.245) and Te at (0.231, 0.000, 0.745).

The calculation puts the spin magnetization at 0.00 μB/cell. For the formation energy from raw total energies, the calculation gives -6.475 eV per formula unit.

---

Record 12
This record from Alexandria via LeMat-Bulk describes a relaxed structure of ReSbRu4. The functional is PBE-GGA.

It has space group F-43m (No. 216), with a = 7.243 Å, b = 7.243 Å, c = 7.243 Å, α = 90.00°, β = 90.00° and γ = 90.00°. The inequivalent atoms are Re at (0.000, 0.000, 0.000), Sb at (0.250, 0.250, 0.250) and Ru at (0.125, 0.125, 0.625).

The calculation puts the spin magnetization at 0.00 μB/cell. For the formation energy from raw total energies, the calculation gives 4.165 eV per formula unit.